DFT (GGA-PBE) results for BaSbP after structural relaxation.

abc: 5.3821 5.3821 5.3821
angles: 60.00 60.00 60.00
Fractional positions:
1 Ba 0.7500 0.7500 0.7500
2 Sb 0.5000 0.5000 0.5000
3 P 0.0000 0.0000 0.0000

Summary:
Energy above the most stable polymorph in this dataset in meV per atom: 923
Formation energy from raw total energies in kcal/mol of atoms: 4.3
Symmetry: F-43m, No. 216
E in eV/atom: -3.6338

DFT (GGA-PBE) results for BaSbP after structural relaxation.

abc: 6.0726 7.6953 6.1589
angles: 116.79 90.00 113.24
Fractional positions:
1 Sb 0.9053 0.8107 0.6641
2 Sb 0.0947 0.1893 0.3359
3 P 0.1109 0.2217 0.9218
4 P 0.8891 0.7783 0.0782
5 Ba 0.3297 0.6594 0.8949
6 Ba 0.6703 0.3406 0.1051

Summary:
Energy above the most stable polymorph in this dataset in meV per atom: 251
Formation energy from raw total energies in kcal/mol of atoms: -11.3
Symmetry: C2/m, No. 12
E in eV/atom: -4.3065